A relaxed RbTeS2 crystal. Source: the Alexandria database, functional PBE.

Cell and atoms, written as CIF:
```
data_RbTeS2
_cell_length_a 6.602
_cell_length_b 6.602
_cell_length_c 14.351
_cell_angle_alpha 90.00
_cell_angle_beta 90.00
_cell_angle_gamma 90.00
_symmetry_space_group_name_H-M 'I -4 2 d'
_symmetry_Int_Tables_number 122
_symmetry_space_group_name_Hall 'I -4 2bw'
loop_
_atom_site_label
_atom_site_type_symbol
_atom_site_fract_x
_atom_site_fract_y
_atom_site_fract_z
Rb1 Rb 0.000 0.000 0.000
Te1 Te 0.000 0.000 0.500
S1 S 0.145 0.250 0.625
```

Summary:
* total DFT energy (no corrections): -3.4072 eV per atom
* mass density: 2.94 g/cm³
* E_form (uncorrected): -316 meV/atom

A relaxed TbDy2Pd2 crystal. Source: the Alexandria database, functional PBE.

Cell and atoms, written as CIF:
```
data_TbDy2Pd2
_cell_length_a 7.825
_cell_length_b 7.825
_cell_length_c 3.932
_cell_angle_alpha 90.00
_cell_angle_beta 90.00
_cell_angle_gamma 90.00
_symmetry_space_group_name_H-M 'P 4/m b m'
_symmetry_Int_Tables_number 127
_symmetry_space_group_name_Hall '-P 4 2ab'
loop_
_atom_site_label
_atom_site_type_symbol
_atom_site_fract_x
_atom_site_fract_y
_atom_site_fract_z
Tb1 Tb 0.000 0.000 0.000
Dy1 Dy 0.165 0.335 0.500
Pd1 Pd 0.132 0.632 0.000
```

Summary:
* total DFT energy (no corrections): -5.5697 eV per atom
* mass density: 9.61 g/cm³
* calculated formation energy: -3.6 eV per formula unit
* offset from the most stable computed form: 0.000 eV per atom

A relaxed Nb2SbRuRh crystal. Source: the Alexandria database, functional PBE.

Cell and atoms, written as CIF:
```
data_Nb2SbRuRh
_cell_length_a 4.994
_cell_length_b 4.994
_cell_length_c 4.672
_cell_angle_alpha 90.00
_cell_angle_beta 90.00
_cell_angle_gamma 90.00
_symmetry_space_group_name_H-M 'P 4/m m m'
_symmetry_Int_Tables_number 123
_symmetry_space_group_name_Hall '-P 4 2'
loop_
_atom_site_label
_atom_site_type_symbol
_atom_site_fract_x
_atom_site_fract_y
_atom_site_fract_z
Nb1 Nb 0.000 0.500 0.000
Sb1 Sb 0.000 0.000 0.000
Ru1 Ru 0.000 0.000 0.500
Rh1 Rh 0.500 0.500 0.500
```

Summary:
* total DFT energy (no corrections): -6.4700 eV per atom
* mass density: 7.29 g/cm³
* E_form (uncorrected): 1708 meV/atom